Density functional theory data (PBE-GGA) for an optimized crystal structure of Y2ThPd.

Computed properties:
Size of the total moment in μB/f.u.: 0.0
Energy in eV/atom: -6.79
Crystal system: tetragonal
Distance to the lowest polymorph of the same formula in meV/atom: 6

a = 3.574 Å, b = 3.574 Å, c = 8.415 Å
α = 90.00°, β = 90.00°, γ = 90.00°
Positions (direct):
Y  0.000  0.000  0.797
Y  0.000  0.000  0.203
Pd  0.500  0.500  0.000
Th  0.500  0.500  0.500



Density functional theory data (PBE-GGA) for an optimized crystal structure of BeAg2Ru.

Computed properties:
Size of the total moment in μB/f.u.: 0.3
Energy in eV/atom: -4.22
Crystal system: orthorhombic

a = 2.710 Å, b = 2.710 Å, c = 8.907 Å
α = 90.00°, β = 90.00°, γ = 116.04°
Positions (direct):
Ru  0.500  0.500  0.750
Ag  0.000  0.000  0.027
Ag  0.000  0.000  0.473
Be  0.500  0.500  0.250



Density functional theory data (PBE-GGA) for an optimized crystal structure of ZrCr2Re.

Computed properties:
Size of the total moment in μB/f.u.: 0.0
Energy in eV/atom: -9.96
Crystal system: orthorhombic
Distance to the lowest polymorph of the same formula in meV/atom: 74

a = 5.139 Å, b = 5.139 Å, c = 5.139 Å
α = 145.20°, β = 129.06°, γ = 63.18°
Positions (direct):
Cr  0.988  0.988  0.000
Cr  0.752  0.252  0.500
Re  0.512  0.512  0.000
Zr  0.247  0.747  0.500



Density functional theory data (PBE-GGA) for an optimized crystal structure of Sr2YIr.

Computed properties:
Size of the total moment in μB/f.u.: 0.0
Energy in eV/atom: -4.89
Crystal system: monoclinic
Distance to the lowest polymorph of the same formula in meV/atom: 74

a = 5.182 Å, b = 5.182 Å, c = 8.494 Å
α = 73.48°, β = 73.48°, γ = 44.67°
Positions (direct):
Ir  0.728  0.728  0.625
Sr  0.088  0.088  0.918
Sr  0.247  0.247  0.332
Y  0.436  0.436  0.625